(1)
14
Lattice="-2.347 4.786 0.455 -0.898 -4.456 -2.823 -7.358 -4.508 9.456" Properties=species:S:1:pos:R:3 comment="Er3GaCo3 | the Open Quantum Materials Database | PBE | relaxed" mass_density_g_cm3=9.72 magmom_total_mub_per_fu=0.04 pbc="T T T"
Er -2.090 -2.212 -0.874
Er -6.368 -0.651 5.207
Er -4.235 -3.526 1.882
Er -7.857 1.353 7.529
Er -2.745 -5.530 -0.440
Er -8.513 -1.965 7.963
Co -3.764 0.963 1.863
Co -8.158 -4.691 7.096
Co -4.723 -0.881 2.920
Co -2.445 0.514 -0.007
Co -6.839 -5.141 5.226
Co -5.880 -3.296 4.169
Ga 0.000 0.000 0.000
Ga -3.679 -2.254 4.728



(2)
4
Lattice="0.000 2.943 2.943 2.943 0.000 2.943 2.943 2.943 0.000" Properties=species:S:1:pos:R:3 comment="FeCuSiW | the Open Quantum Materials Database | PBE | relaxed" de_polymorph_ev_per_fu=0.00 mass_density_g_cm3=10.79 magmom_total_mub_per_fu=1.06 pbc="T T T"
Cu 4.415 4.415 4.415
W 1.472 1.472 1.472
Si 0.000 0.000 0.000
Fe 2.943 2.943 2.943



(3)
3
Lattice="0.000 3.200 3.200 3.200 0.000 3.200 3.200 3.200 0.000" Properties=species:S:1:pos:R:3 comment="HfZrGe | the Open Quantum Materials Database | PBE | relaxed" mass_density_g_cm3=8.68 magmom_total_mub_per_fu=0.01 pbc="T T T"
Ge 0.000 0.000 0.000
Hf 1.600 1.600 1.600
Zr 4.800 4.800 4.800



(4)
3
Lattice="0.305 -3.726 2.774 -2.771 -0.362 3.724 -3.428 -3.149 0.053" Properties=species:S:1:pos:R:3 comment="HfUTa | the Open Quantum Materials Database | PBE | relaxed" ef_ev_per_atom=1.056 de_polymorph_ev_per_fu=0.00 mass_density_g_cm3=13.90 magmom_total_mub_per_fu=0.91 pbc="T T T"
Hf 0.000 0.000 0.000
U -4.421 -5.429 4.914
Ta -1.474 -1.810 1.638



(5)
8
Lattice="-2.086 -3.614 0.000 0.000 0.000 5.154 -6.216 3.589 0.000" Properties=species:S:1:pos:R:3 comment="LaPaNO | the Open Quantum Materials Database | PBE | relaxed" de_polymorph_ev_per_fu=0.00 mass_density_g_cm3=8.61 magmom_total_mub_per_fu=0.86 pbc="T T T"
N -2.196 1.268 4.818
N -4.020 2.321 2.241
O -6.080 1.101 4.849
O -2.222 -1.126 2.272
La -6.255 1.202 2.265
La -2.047 -1.227 4.842
Pa -2.073 1.197 2.262
Pa -4.142 2.392 4.838



(6)
6
Lattice="4.014 0.000 0.000 -2.007 3.476 0.000 0.000 0.000 9.927" Properties=species:S:1:pos:R:3 comment="SrTb2S3 | the Open Quantum Materials Database | PBE | relaxed" mass_density_g_cm3=6.02 magmom_total_mub_per_fu=0.01 pbc="T T T"
Tb 0.000 2.317 1.496
Tb 2.007 1.159 8.431
S 2.007 1.159 3.135
S 0.000 2.317 6.792
S 0.000 0.000 0.000
Sr 0.000 0.000 4.963



(7)
8
Lattice="5.839 0.000 0.000 0.000 2.898 0.000 -2.903 0.000 7.832" Properties=species:S:1:pos:R:3 comment="CuAg3 | the Open Quantum Materials Database | PBE | relaxed" ef_ev_per_atom=0.060 mass_density_g_cm3=9.70 pbc="T T T"
Ag 3.751 0.724 0.881
Ag 2.154 2.173 2.804
Ag 3.608 0.724 4.920
Ag -0.815 2.173 6.951
Ag -0.672 2.173 2.912
Ag 0.782 0.724 5.028
Cu 0.650 0.724 0.912
Cu 2.286 2.173 6.920



(8)
9
Lattice="4.021 0.000 0.000 0.000 6.419 3.696 0.000 -6.419 3.696" Properties=species:S:1:pos:R:3 comment="HoTm2Mg3Pt2Au | the Open Quantum Materials Database | PBE | relaxed" mass_density_g_cm3=10.12 magmom_total_mub_per_fu=0.01 pbc="T T T"
Ho 0.000 0.000 3.078
Tm 0.000 3.751 2.159
Tm 0.000 -3.751 2.159
Pt 2.010 2.158 3.701
Pt 2.010 -2.158 3.701
Mg 2.010 0.000 5.530
Mg 2.010 -4.793 4.626
Mg 2.010 4.793 4.626
Au 0.000 0.000 7.378



(9)
2
Lattice="2.663 0.000 0.000 -1.331 2.306 0.000 0.000 0.000 4.143" Properties=species:S:1:pos:R:3 comment="CoRe | the Open Quantum Materials Database | PBE | relaxed" ef_ev_per_atom=0.071 mass_density_g_cm3=16.00 magmom_total_mub_per_fu=0.33 pbc="T T T"
Co 1.331 0.769 3.107
Re 0.000 1.537 1.036



(10)
4
Lattice="0.000 3.151 3.151 3.151 0.000 3.151 3.151 3.151 0.000" Properties=species:S:1:pos:R:3 comment="InCoMoW | the Open Quantum Materials Database | PBE | relaxed" de_polymorph_ev_per_fu=0.00 mass_density_g_cm3=12.03 magmom_total_mub_per_fu=0.04 pbc="T T T"
Mo 1.576 1.576 1.576
Co 4.727 4.727 4.727
W 3.151 3.151 3.151
In 0.000 0.000 0.000



(11)
9
Lattice="-4.133 -0.266 0.266 0.419 -7.246 -0.736 0.236 2.995 6.648" Properties=species:S:1:pos:R:3 comment="Tb2NdAl3PtAu2 | the Open Quantum Materials Database | PBE | relaxed" mass_density_g_cm3=9.81 magmom_total_mub_per_fu=0.00 pbc="T T T"
Al -1.735 1.200 6.600
Al -1.594 -6.680 0.918
Al -1.562 -3.408 4.687
Tb 0.140 1.765 3.931
Tb 0.248 -4.283 -0.429
Au -1.706 -4.025 1.838
Au -1.769 -0.513 4.370
Nd 0.270 -1.752 2.437
Pt 0.651 -4.224 5.875



(12)
3
Lattice="-2.037 2.000 3.057 0.206 4.169 0.271 -3.360 2.323 -0.897" Properties=species:S:1:pos:R:3 comment="NbNiAu | the Open Quantum Materials Database | PBE | relaxed" ef_ev_per_atom=0.151 de_polymorph_ev_per_fu=0.00 mass_density_g_cm3=11.19 magmom_total_mub_per_fu=0.03 pbc="T T T"
Au -1.298 2.123 0.608
Ni 0.000 0.000 0.000
Nb -3.893 6.368 1.824



no.,E (eV per atom)
1,-5.82
2,-7.48
3,-8.00
4,-9.98
5,-8.40
6,-5.93
7,-2.99
8,-4.60
9,-9.69
10,-8.06
11,-5.10
12,-6.16